Compound: Na2ZnPd
Source: OQMD via LeMat-Bulk
Functional: GGA-PBE
Structure: optimized geometry

Cell: 4.7354 4.7354 4.7354 Å, 60.00 60.00 60.00°
Last column: nearest neighbours and their distance in Å.
Sites, in units of the cell vectors:
1 Na 0.0000 0.0000 0.0000  4 Na 2.90, 4 Pd 2.90
2 Na 0.7500 0.7500 0.7500  4 Na 2.90, 4 Zn 2.90
3 Pd 0.2500 0.2500 0.2500  4 Zn 2.90, 4 Na 2.90
4 Zn 0.5000 0.5000 0.5000  4 Pd 2.90, 4 Na 2.90

Results
VASP energy ... -9.5 eV/cell



Compound: TmPbW
Source: OQMD via LeMat-Bulk
Functional: GGA-PBE
Structure: optimized geometry

Cell: 4.9128 4.9128 4.9128 Å, 60.00 60.00 60.00°
Last column: nearest neighbours and their distance in Å.
Sites, in units of the cell vectors:
1 Tm 0.0000 0.0000 0.0000  4 Pb 3.01, 4 W 3.01
2 Pb 0.2500 0.2500 0.2500  4 Tm 3.01
3 W 0.7500 0.7500 0.7500  4 Tm 3.01

Results
VASP energy ... -17.1 eV/cell
Polymorph energy (0 for the lowest one) ... 409 meV/atom



Compound: Cu7Ag3
Source: OQMD via LeMat-Bulk
Functional: GGA-PBE
Structure: optimized geometry

Cell: 4.6713 6.9980 9.3770 Å, 104.12 99.19 107.81°
Last column: nearest neighbours and their distance in Å.
Sites, in units of the cell vectors:
1 Cu 0.0078 0.0072 0.5057  9 Cu 2.55-2.70, 3 Ag 2.64-2.77
2 Cu 0.1957 0.6992 0.5423  9 Cu 2.63-2.71, 3 Ag 2.64-2.65
3 Cu 0.4186 0.3942 0.1068  5 Cu 2.50-2.78, 5 Ag 2.61-2.73
4 Cu 0.3930 0.4039 0.5997  10 Cu 2.56-2.75, 2 Ag 2.65-2.67
5 Cu 0.2079 0.1995 0.3151  9 Cu 2.56-2.78, 3 Ag 2.63-2.71
6 Cu 0.4081 0.9093 0.3610  7 Cu 2.50-2.70, 3 Ag 2.69-2.73
7 Cu 0.0066 0.4785 0.2474  7 Cu 2.52-2.70, 4 Ag 2.70-2.77
8 Cu 0.5905 0.1042 0.6401  9 Cu 2.50-2.78, 3 Ag 2.70-2.78
9 Cu 0.7773 0.3047 0.9526  5 Cu 2.50-2.78, 5 Ag 2.61-2.72
10 Cu 0.6163 0.5971 0.8863  4 Cu 2.52-2.65, 5 Ag 2.63-2.74
11 Cu 0.9705 0.4986 0.7293  7 Cu 2.51-2.65, 3 Ag 2.62-2.79
12 Cu 0.7937 0.7988 0.6923  7 Cu 2.56-2.71, 5 Ag 2.60-2.84
13 Cu 0.8090 0.2912 0.4523  11 Cu 2.51-2.75, 1 Ag 2.67
14 Cu 0.6015 0.1122 0.1678  7 Cu 2.52-2.78, 3 Ag 2.70-2.75
15 Ag 0.8147 0.8003 0.2086  8 Cu 2.66-2.87, 4 Ag 2.73-2.78
16 Ag 0.9990 0.0135 0.0096  7 Cu 2.61-2.84, 5 Ag 2.74-2.85
17 Ag 0.1840 0.2182 0.7991  10 Cu 2.62-2.78, 2 Ag 2.80
18 Ag 0.3951 0.8965 0.8379  8 Cu 2.63-2.94, 4 Ag 2.78-2.81
19 Ag 0.6019 0.5918 0.4034  11 Cu 2.60-2.77, 1 Ag 2.73
20 Ag 0.2087 0.6810 0.0426  8 Cu 2.61-2.86, 4 Ag 2.77-2.85

Results
Energy relative to the elements ... 1.98 kcal/mol of atoms
VASP energy ... -67.3 eV/cell
Polymorph energy (0 for the lowest one) ... 41 meV/atom



Compound: SrFeGe
Source: OQMD via LeMat-Bulk
Functional: GGA-PBE
Structure: optimized geometry

Cell: 4.6674 4.6674 4.6674 Å, 60.00 60.00 60.00°
Last column: nearest neighbours and their distance in Å.
Sites, in units of the cell vectors:
1 Fe 0.0000 0.0000 0.0000  4 Sr 2.86, 4 Ge 2.86
2 Sr 0.7500 0.7500 0.7500  4 Fe 2.86
3 Ge 0.2500 0.2500 0.2500  4 Fe 2.86

Results
VASP energy ... -13.5 eV/cell



Compound: TcSn2Mo
Source: OQMD via LeMat-Bulk
Functional: GGA-PBE
Structure: optimized geometry

Cell: 4.7302 4.7302 4.7302 Å, 60.00 60.00 60.00°
Last column: nearest neighbours and their distance in Å.
Sites, in units of the cell vectors:
1 Sn 0.2500 0.2500 0.2500  4 Mo 2.90, 4 Sn 2.90
2 Sn 0.0000 0.0000 0.0000  4 Sn 2.90, 4 Tc 2.90
3 Tc 0.7500 0.7500 0.7500  4 Mo 2.90, 4 Sn 2.90
4 Mo 0.5000 0.5000 0.5000  4 Sn 2.90, 4 Tc 2.90

Results
VASP energy ... -27.2 eV/cell



Compound: BaTmBi
Source: OQMD via LeMat-Bulk
Functional: GGA-PBE
Structure: optimized geometry

Cell: 5.4482 5.4482 5.4482 Å, 60.00 60.00 60.00°
Last column: nearest neighbours and their distance in Å.
Sites, in units of the cell vectors:
1 Bi 0.7500 0.7500 0.7500  4 Tm 3.34
2 Tm 0.0000 0.0000 0.0000  4 Ba 3.34, 4 Bi 3.34
3 Ba 0.2500 0.2500 0.2500  4 Tm 3.34

Results
VASP energy ... -10.3 eV/cell



Compound: Tb3Sn5Pb2
Source: OQMD via LeMat-Bulk
Functional: GGA-PBE
Structure: optimized geometry

Cell: 13.4861 13.4861 4.5624 Å, 90.00 90.00 161.14°
Last column: nearest neighbours and their distance in Å.
Sites, in units of the cell vectors:
1 Sn 0.4043 0.5957 0.0000  4 Pb 3.18, 4 Tb 3.36-3.42, 2 Sn 3.37
2 Sn 0.0000 0.0000 0.0000  4 Tb 3.18, 4 Sn 3.37, 4 Pb 3.47
3 Sn 0.5957 0.4043 0.0000  4 Pb 3.18, 4 Tb 3.36-3.42, 2 Sn 3.37
4 Sn 0.2887 0.7113 0.5000  2 Sn 3.02, 4 Tb 3.22
5 Sn 0.7113 0.2887 0.5000  2 Sn 3.02, 4 Tb 3.22
6 Pb 0.0981 0.9019 0.5000  6 Sn 3.18-3.47, 4 Tb 3.36-3.42
7 Pb 0.9019 0.0981 0.5000  6 Sn 3.18-3.47, 4 Tb 3.36-3.42
8 Tb 0.1909 0.8091 0.0000  8 Sn 3.22-3.46, 2 Pb 3.36
9 Tb 0.5000 0.5000 0.5000  8 Sn 3.18-3.42, 4 Pb 3.42
10 Tb 0.8091 0.1909 0.0000  8 Sn 3.22-3.46, 2 Pb 3.36

Results
VASP energy ... -46.2 eV/cell
Polymorph energy (0 for the lowest one) ... 0 meV/atom



Compound: GdMgZnNi
Source: OQMD via LeMat-Bulk
Functional: GGA-PBE
Structure: optimized geometry

Cell: 7.4776 5.2688 5.2688 Å, 45.65 90.00 90.00°
Last column: nearest neighbours and their distance in Å.
Sites, in units of the cell vectors:
1 Ni 0.5000 0.7252 0.7252  2 Zn 2.58, 4 Mg 2.63, 3 Gd 2.82-2.88
2 Ni 0.0000 0.2832 0.2832  4 Zn 2.59, 2 Mg 2.59, 1 Gd 2.67
3 Gd 0.0000 0.5580 0.5580  1 Ni 2.67
4 Gd 0.5000 0.4347 0.4347  3 Ni 2.82-2.88, 2 Mg 3.14
5 Zn 0.1941 0.8487 0.8487  3 Ni 2.58-2.59
6 Zn 0.8059 0.8487 0.8487  3 Ni 2.58-2.59
7 Mg 0.3001 0.1508 0.1508  3 Ni 2.59-2.63
8 Mg 0.6999 0.1508 0.1508  3 Ni 2.59-2.63

Results
VASP energy ... -28.6 eV/cell
Polymorph energy (0 for the lowest one) ... 14 meV/atom



Compound: BaMg2PtAu
Source: OQMD via LeMat-Bulk
Functional: GGA-PBE
Structure: optimized geometry

Cell: 6.8859 6.8859 6.8859 Å, 142.27 142.27 54.42°
Last column: nearest neighbours and their distance in Å.
Sites, in units of the cell vectors:
1 Pt 0.6209 0.6209 0.0000  4 Mg 2.70, 1 Au 2.89
2 Ba 0.0040 0.0040 0.0000  4 Pt 3.46, 4 Au 3.47, 4 Mg 3.70
3 Mg 0.7449 0.2449 0.5000  2 Pt 2.70, 2 Au 2.81
4 Mg 0.2449 0.7449 0.5000  2 Pt 2.70, 2 Au 2.81
5 Au 0.3853 0.3853 0.0000  4 Mg 2.81, 1 Pt 2.89

Results
VASP energy ... -17.8 eV/cell



Compound: PdAu
Source: OQMD via LeMat-Bulk
Functional: GGA-PBE
Structure: optimized geometry

Cell: 2.8610 2.8609 4.6700 Å, 90.00 90.00 120.00°
Last column: nearest neighbours and their distance in Å.
Sites, in units of the cell vectors:
1 Pd 0.3333 0.6667 0.2500  6 Au 2.86, 6 Pd 2.86
2 Au 0.6667 0.3333 0.7500  6 Pd 2.86, 6 Au 2.86

Results
Energy relative to the elements ... -1.01 kcal/mol of atoms
VASP energy ... -8.5 eV/cell